The following is a DFT calculation (PBE-GGA) of PmDy5TmTh2 after structural relaxation.

Calculated values
The value obtained for the total DFT energy (no corrections) is -88.00 eV for the cell shown. Its formation energy is 0.3414 eV per atom. The space group is No. 140. The calculation puts the spin magnetization at 0.0 μB per formula unit.

extended XYZ file:
```
18
Lattice="-5.941 -5.373 3.747 -1.963 -3.366 -7.939 9.345 -0.950 3.018" Properties=species:S:1:pos:R:3 pbc="T T T"
Dy -3.952 -4.370 -2.096
Dy -0.652 -3.736 -0.309
Dy 0.000 0.000 0.000
Th -1.455 -1.922 -2.579
Pm -1.255 -7.030 -1.635
Pm 2.697 -2.660 0.461
Th -3.911 -3.726 1.375
Th -3.993 -5.013 -5.567
Dy -3.786 -6.702 0.906
Dy 2.094 -5.953 -0.865
Th -6.449 -6.818 -1.613
Dy -4.274 -7.940 -3.374
Dy 5.716 -1.750 2.200
Tm 1.715 -4.343 -3.508
Dy 2.582 -4.716 3.415
Dy 5.227 -2.988 -2.080
Tm -0.274 -5.347 2.335
Dy -1.141 -4.974 -4.589
```

The following is a DFT calculation (PBE-GGA) of Pm2Dy3Tm6Th after structural relaxation.

Calculated values
The value obtained for the total DFT energy (no corrections) is -57.19 eV for the cell shown. Its formation energy is 0.0304 eV per atom. The space group is No. 12. The calculation puts the spin magnetization at 0.0 μB per formula unit.

extended XYZ file:
```
12
Lattice="-4.336 1.492 -4.080 -1.571 -1.425 5.760 2.946 11.015 2.438" Properties=species:S:1:pos:R:3 pbc="T T T"
Th 0.000 0.000 0.000
Dy -2.401 6.512 -1.217
Tm -1.773 7.820 4.710
Tm -1.188 3.261 -0.592
Dy -0.560 4.570 5.334
Dy -1.481 5.541 2.059
Tm -0.277 2.299 2.652
Pm -2.493 -0.453 2.480
Tm -3.720 2.814 1.880
Pm -3.414 0.519 -0.800
Tm 0.758 8.267 2.238
Tm -2.685 8.782 1.466
```

The following is a DFT calculation (PBE-GGA) of Pm6DyTm2Th after structural relaxation.

Calculated values
The value obtained for the total DFT energy (no corrections) is -96.07 eV for the cell shown. Its formation energy is 0.1432 eV per atom. The space group is No. 15. The calculation puts the spin magnetization at 0.0 μB per formula unit.

extended XYZ file:
```
20
Lattice="-7.030 -5.825 -2.955 5.408 -2.244 -6.617 1.175 -4.349 7.602" Properties=species:S:1:pos:R:3 pbc="T T T"
Th 3.514 -3.768 -6.898
Tm 1.463 -1.844 -0.569
Tm -2.444 -4.951 -0.729
Tm 1.997 -7.466 -1.242
Dy 1.150 -4.943 1.043
Dy -1.597 -7.474 -3.014
Pm -4.112 -6.506 2.259
Pm 3.550 -4.365 -1.330
Pm 0.451 -4.676 -2.299
Pm -0.780 -6.970 3.893
Th -3.961 -8.649 4.928
Pm 3.665 -5.911 -4.230
Pm 0.333 -5.447 -5.864
Pm -3.997 -8.052 -0.640
Pm 1.083 -3.909 4.900
Pm -2.234 -10.009 2.300
Pm -0.898 -7.742 0.328
Pm 1.787 -2.409 -4.271
Tm -1.910 -10.574 -1.402
Pm -1.530 -8.508 -6.871
```

The following is a DFT calculation (PBE-GGA) of PmDy2Tm4Th after structural relaxation.

Calculated values
The value obtained for the total DFT energy (no corrections) is -71.31 eV for the cell shown. Its formation energy is 0.4504 eV per atom. The space group is No. 74. The calculation puts the spin magnetization at 0.0 μB per formula unit.

extended XYZ file:
```
16
Lattice="-3.655 7.987 3.477 -8.447 -4.092 1.067 10.578 -4.592 1.980" Properties=species:S:1:pos:R:3 pbc="T T T"
Dy -6.051 1.948 2.272
Tm -1.965 -3.393 2.626
Tm 3.347 -5.633 3.627
Tm 2.287 -1.319 2.135
Tm -4.870 4.936 2.897
Tm 0.441 2.697 3.898
Dy -1.827 3.993 1.738
Th -4.223 -2.046 0.533
Th -2.589 3.645 5.000
Tm 7.538 -3.598 3.111
Tm -9.062 2.901 3.412
Tm -3.811 0.623 4.388
Pm 6.923 3.395 5.456
Pm -0.762 -0.348 3.262
Dy 3.462 1.697 2.728
Dy 5.289 -2.296 0.990
```

The following is a DFT calculation (PBE-GGA) of PmDy3TmTh after structural relaxation.

Calculated values
The value obtained for the total DFT energy (no corrections) is -58.53 eV for the cell shown. Its formation energy is 0.1970 eV per atom. The space group is No. 12. The calculation puts the spin magnetization at 0.0 μB per formula unit.

extended XYZ file:
```
12
Lattice="5.425 0.000 0.000 -2.713 10.616 2.635 0.000 -0.576 6.742" Properties=species:S:1:pos:R:3 pbc="T T T"
Dy 0.000 4.646 2.471
Th 2.713 8.806 6.816
Tm 2.713 3.342 4.099
Pm 2.713 2.769 0.966
Pm 0.000 7.270 8.411
Tm 0.000 6.697 5.278
Dy 2.713 5.394 6.906
Dy 2.713 0.163 5.025
Dy 2.713 6.953 3.559
Dy 0.000 3.087 5.818
Dy 0.000 9.876 4.352
Th 0.000 1.234 2.561
```

The following is a DFT calculation (PBE-GGA) of PmDyTm5Th2 after structural relaxation.

Calculated values
The value obtained for the total DFT energy (no corrections) is -86.96 eV for the cell shown. Its formation energy is 0.3413 eV per atom. The space group is No. 140. The calculation puts the spin magnetization at 0.0 μB per formula unit.

extended XYZ file:
```
18
Lattice="8.834 0.000 0.000 0.000 8.834 0.000 -4.417 -4.417 7.506" Properties=species:S:1:pos:R:3 pbc="T T T"
Th 5.463 1.046 0.000
Th 3.371 7.788 0.000
Tm 4.417 4.417 0.000
Tm 2.582 1.835 2.070
Pm 0.000 0.000 3.753
Tm 1.835 2.582 5.436
Tm 1.835 6.252 2.070
Tm -1.835 -2.582 5.436
Tm -2.582 1.835 5.436
Th 1.046 3.371 0.000
Tm 2.582 -1.835 5.436
Pm 4.417 4.417 3.753
Th 7.788 5.463 0.000
Dy 4.417 0.000 3.753
Tm 6.999 2.582 2.070
Tm 6.252 6.999 2.070
Dy 0.000 4.417 3.753
Tm 0.000 0.000 0.000
```

- What is the total DFT energy (no corrections) in the fourth record?
  -71.31 eV for the cell shown

- What is the formula in the third record?
  Pm6DyTm2Th